(1)
## Li3F4 (PBE)

Data for a geometry-optimized Li3F4 structure.

Calculated values
SG: R-3m
E_form (uncorrected): -2420 meV per atom

```
Li3F4
1.0
1.538 0.888 8.272
-1.538 0.888 8.272
0.000 -1.776 8.272
Li F
3 4
Direct
0.000 0.000 0.000 Li
0.233 0.233 0.233 Li
0.767 0.767 0.767 Li
0.126 0.126 0.126 F
0.376 0.376 0.376 F
0.624 0.624 0.624 F
0.874 0.874 0.874 F
```

(2)
## LiF3 (PBE)

Data for a geometry-optimized LiF3 structure.

Calculated values
SG: Imm2
energy above the lowest structure with this stoichiometry: 0.217 eV per atom
E_form (uncorrected): -1232 meV per atom

```
LiF3
1.0
-1.532 3.248 2.438
1.532 -3.248 2.438
1.532 3.248 -2.438
Li F
1 3
Direct
0.000 0.000 0.000 Li
0.165 0.464 0.702 F
0.665 0.165 0.500 F
0.762 0.464 0.298 F
```

(3)
## LiF3 (PBE)

Data for a geometry-optimized LiF3 structure.

Calculated values
SG: P2_1/m
energy above the lowest structure with this stoichiometry: 0.203 eV per atom
E_form (uncorrected): -1246 meV per atom

```
LiF3
1.0
4.818 0.000 0.000
0.000 3.145 0.000
-2.146 0.000 6.297
Li F
2 6
Direct
0.196 0.250 0.209 Li
0.804 0.750 0.791 Li
0.147 0.250 0.884 F
0.153 0.750 0.396 F
0.471 0.750 0.256 F
0.529 0.250 0.744 F
0.847 0.250 0.604 F
0.853 0.750 0.116 F
```

(4)
## LiF3 (PBE)

Data for a geometry-optimized LiF3 structure.

Calculated values
SG: R-3m
energy above the lowest structure with this stoichiometry: 0.000 eV per atom
E_form (uncorrected): -1450 meV per atom

```
LiF3
1.0
1.569 0.906 5.300
-1.569 0.906 5.300
0.000 -1.812 5.300
Li F
1 3
Direct
0.000 0.000 0.000 Li
0.392 0.392 0.392 F
0.500 0.500 0.500 F
0.608 0.608 0.608 F
```

(5)
## LiF2 (PBE)

Data for a geometry-optimized LiF2 structure.

Calculated values
SG: C2/m
energy above the lowest structure with this stoichiometry: 0.004 eV per atom
E_form (uncorrected): -1874 meV per atom

```
LiF2
1.0
2.489 -1.769 0.000
2.489 1.769 0.000
-2.139 0.000 3.430
Li F
1 2
Direct
0.000 0.000 0.000 Li
0.490 0.490 0.245 F
0.510 0.510 0.755 F
```

(6)
## LiLuF4 (PBE)

Data for a geometry-optimized LiLuF4 structure.

Calculated values
SG: C2/c
E_form (uncorrected): -3798 meV per atom

```
LiLuF4
1.0
3.650 -5.252 0.000
3.650 5.252 0.000
-3.646 0.000 3.657
Li Lu F
2 2 8
Direct
0.124 0.876 0.750 Li
0.876 0.124 0.250 Li
0.375 0.625 0.250 Lu
0.625 0.375 0.750 Lu
0.036 0.623 0.865 F
0.242 0.329 0.707 F
0.329 0.242 0.207 F
0.377 0.964 0.635 F
0.623 0.036 0.365 F
0.671 0.758 0.793 F
0.758 0.671 0.293 F
0.964 0.377 0.135 F
```

(7)
## NaLiLu2F8 (PBE)

Data for a geometry-optimized NaLiLu2F8 structure.

Calculated values
SG: Cmcm
E_form (uncorrected): -3758 meV per atom

```
NaLiLu2F8
1.0
5.177 -4.099 0.000
5.177 4.099 0.000
0.000 0.000 6.968
Na Li Lu F
2 2 4 16
Direct
0.156 0.844 0.750 Na
0.844 0.156 0.250 Na
0.500 0.500 0.000 Li
0.500 0.500 0.500 Li
0.050 0.574 0.250 Lu
0.426 0.950 0.250 Lu
0.574 0.050 0.750 Lu
0.950 0.426 0.750 Lu
0.113 0.887 0.250 F
0.157 0.566 0.549 F
0.157 0.566 0.951 F
0.197 0.246 0.250 F
0.246 0.197 0.750 F
0.413 0.587 0.250 F
0.434 0.843 0.549 F
0.434 0.843 0.951 F
0.566 0.157 0.049 F
0.566 0.157 0.451 F
0.587 0.413 0.750 F
0.754 0.803 0.250 F
0.803 0.754 0.750 F
0.843 0.434 0.049 F
0.843 0.434 0.451 F
0.887 0.113 0.750 F
```

(8)
## Li3MgF (PBE)

Data for a geometry-optimized Li3MgF structure.

Calculated values
SG: Pm-3m
energy above the lowest structure with this stoichiometry: 0.000 eV per atom
E_form (uncorrected): -977 meV per atom

```
Li3MgF
1.0
4.288 0.000 0.000
0.000 4.288 0.000
0.000 0.000 4.288
Li Mg F
3 1 1
Direct
0.000 0.000 0.500 Li
0.000 0.500 0.000 Li
0.500 0.000 0.000 Li
0.500 0.500 0.500 Mg
0.000 0.000 0.000 F
```

(9)
## Li2Mg5F12 (PBE)

Data for a geometry-optimized Li2Mg5F12 structure.

Calculated values
SG: C2/m
E_form (uncorrected): -3310 meV per atom

```
Li2Mg5F12
1.0
5.286 -2.884 0.000
5.286 2.884 0.000
-2.399 0.000 6.760
Li Mg F
2 5 12
Direct
0.234 0.766 0.000 Li
0.766 0.234 0.000 Li
0.000 0.000 0.500 Mg
0.270 0.270 0.051 Mg
0.323 0.323 0.630 Mg
0.677 0.677 0.370 Mg
0.730 0.730 0.949 Mg
0.068 0.068 0.844 F
0.080 0.533 0.857 F
0.092 0.637 0.495 F
0.363 0.908 0.505 F
0.467 0.920 0.143 F
0.472 0.472 0.178 F
0.528 0.528 0.822 F
0.533 0.080 0.857 F
0.637 0.092 0.495 F
0.908 0.363 0.505 F
0.920 0.467 0.143 F
0.932 0.932 0.156 F
```

(10)
## Li6MgF8 (PBE)

Data for a geometry-optimized Li6MgF8 structure.

Calculated values
SG: Fm-3m
E_form (uncorrected): -3038 meV per atom

```
Li6MgF8
1.0
0.000 4.147 4.147
4.147 0.000 4.147
4.147 4.147 0.000
Li Mg F
6 1 8
Direct
0.000 0.000 0.500 Li
0.000 0.500 0.000 Li
0.000 0.500 0.500 Li
0.500 0.000 0.000 Li
0.500 0.000 0.500 Li
0.500 0.500 0.000 Li
0.000 0.000 0.000 Mg
0.237 0.237 0.763 F
0.237 0.763 0.237 F
0.237 0.763 0.763 F
0.250 0.250 0.250 F
0.750 0.750 0.750 F
0.763 0.237 0.237 F
0.763 0.237 0.763 F
0.763 0.763 0.237 F
```

(11)
## LiMg2F (PBE)

Data for a geometry-optimized LiMg2F structure.

Calculated values
SG: Fm-3m
energy above the lowest structure with this stoichiometry: 0.470 eV per atom
E_form (uncorrected): -506 meV per atom

```
LiMg2F
1.0
0.000 3.374 3.374
3.374 0.000 3.374
3.374 3.374 0.000
Li Mg F
1 2 1
Direct
0.000 0.000 0.000 Li
0.250 0.250 0.250 Mg
0.750 0.750 0.750 Mg
0.500 0.500 0.500 F
```

(12)
## Li3MgF (PBE)

Data for a geometry-optimized Li3MgF structure.

Calculated values
SG: Pm-3m
energy above the lowest structure with this stoichiometry: 1.064 eV per atom
E_form (uncorrected): 86 meV per atom

```
Li3MgF
1.0
5.289 0.000 0.000
0.000 5.289 0.000
0.000 0.000 5.289
Li Mg F
3 1 1
Direct
0.000 0.000 0.500 Li
0.000 0.500 0.000 Li
0.500 0.000 0.000 Li
0.000 0.000 0.000 Mg
0.500 0.500 0.500 F
```

(13)
## Li3Mg2F7 (PBE)

Data for a geometry-optimized Li3Mg2F7 structure.

Calculated values
SG: Cmc2_1
E_form (uncorrected): -3222 meV per atom

```
Li3Mg2F7
1.0
9.065 -2.590 0.000
9.065 2.590 0.000
0.000 0.000 5.260
Li Mg F
6 4 14
Direct
0.075 0.519 0.577 Li
0.248 0.752 0.500 Li
0.481 0.925 0.577 Li
0.519 0.075 0.077 Li
0.752 0.248 0.000 Li
0.925 0.481 0.077 Li
0.143 0.649 0.032 Mg
0.351 0.857 0.032 Mg
0.649 0.143 0.532 Mg
0.857 0.351 0.532 Mg
0.052 0.216 0.857 F
0.119 0.881 0.106 F
0.164 0.423 0.953 F
0.216 0.052 0.357 F
0.346 0.503 0.706 F
0.423 0.164 0.453 F
0.497 0.654 0.706 F
0.503 0.346 0.206 F
0.577 0.836 0.953 F
0.654 0.497 0.206 F
0.784 0.948 0.857 F
0.836 0.577 0.453 F
0.881 0.119 0.606 F
0.948 0.784 0.357 F
```

(14)
## Li2MgF4 (PBE)

Data for a geometry-optimized Li2MgF4 structure.

Calculated values
SG: C2/m
energy above the lowest structure with this stoichiometry: 0.000 eV per atom
E_form (uncorrected): -3197 meV per atom

```
Li2MgF4
1.0
5.401 -1.566 0.000
5.401 1.566 0.000
-1.437 0.000 4.788
Li Mg F
2 1 4
Direct
0.161 0.161 0.063 Li
0.839 0.839 0.937 Li
0.500 0.500 0.500 Mg
0.073 0.073 0.332 F
0.349 0.349 0.157 F
0.651 0.651 0.843 F
0.927 0.927 0.668 F
```

(15)
## Li4Mg2F9 (PBE)

Data for a geometry-optimized Li4Mg2F9 structure.

Calculated values
SG: P-3c1
E_form (uncorrected): -2934 meV per atom

```
Li4Mg2F9
1.0
5.097 0.000 0.000
-2.548 4.414 0.000
0.000 0.000 13.872
Li Mg F
8 4 18
Direct
0.333 0.667 0.189 Li
0.333 0.667 0.486 Li
0.333 0.667 0.689 Li
0.333 0.667 0.986 Li
0.667 0.333 0.014 Li
0.667 0.333 0.311 Li
0.667 0.333 0.514 Li
0.667 0.333 0.811 Li
0.000 0.000 0.148 Mg
0.000 0.000 0.352 Mg
0.000 0.000 0.648 Mg
0.000 0.000 0.852 Mg
0.000 0.296 0.250 F
0.000 0.704 0.750 F
0.023 0.352 0.583 F
0.023 0.671 0.083 F
0.296 0.000 0.250 F
0.296 0.296 0.750 F
0.329 0.352 0.083 F
0.329 0.977 0.583 F
0.352 0.023 0.917 F
0.352 0.329 0.417 F
0.648 0.671 0.583 F
0.648 0.977 0.083 F
0.671 0.023 0.417 F
0.671 0.648 0.917 F
0.704 0.000 0.750 F
0.704 0.704 0.250 F
0.977 0.329 0.917 F
0.977 0.648 0.417 F
```

(16)
## Li2MgF4 (PBE)

Data for a geometry-optimized Li2MgF4 structure.

Calculated values
SG: I4/mmm
energy above the lowest structure with this stoichiometry: 0.167 eV per atom
E_form (uncorrected): -3030 meV per atom

```
Li2MgF4
1.0
-1.955 1.955 5.337
1.955 -1.955 5.337
1.955 1.955 -5.337
Li Mg F
2 1 4
Direct
0.149 0.149 0.000 Li
0.851 0.851 0.000 Li
0.500 0.500 0.000 Mg
0.000 0.500 0.500 F
0.317 0.317 0.000 F
0.500 0.000 0.500 F
0.683 0.683 0.000 F
```

(17)
## Li2MgF (PBE)

Data for a geometry-optimized Li2MgF structure.

Calculated values
SG: R-3m
energy above the lowest structure with this stoichiometry: 0.000 eV per atom
E_form (uncorrected): -1401 meV per atom

```
Li2MgF
1.0
1.509 0.871 7.560
-1.509 0.871 7.560
0.000 -1.742 7.560
Li Mg F
2 1 1
Direct
0.218 0.218 0.218 Li
0.782 0.782 0.782 Li
0.000 0.000 0.000 Mg
0.500 0.500 0.500 F
```

(18)
## Li3MgF6 (PBE)

Data for a geometry-optimized Li3MgF6 structure.

Calculated values
SG: R3
energy above the lowest structure with this stoichiometry: 0.004 eV per atom
E_form (uncorrected): -2764 meV per atom

```
Li3MgF6
1.0
2.551 1.473 4.593
-2.551 1.473 4.593
0.000 -2.946 4.593
Li Mg F
3 1 6
Direct
0.000 0.000 0.000 Li
0.202 0.202 0.202 Li
0.493 0.493 0.493 Li
0.700 0.700 0.700 Mg
0.096 0.419 0.791 F
0.301 0.913 0.603 F
0.419 0.791 0.096 F
0.603 0.301 0.913 F
0.791 0.096 0.419 F
0.913 0.603 0.301 F
```

(19)
## Li3MgF6 (PBE)

Data for a geometry-optimized Li3MgF6 structure.

Calculated values
SG: C2/m
energy above the lowest structure with this stoichiometry: 0.000 eV per atom
E_form (uncorrected): -2768 meV per atom

```
Li3MgF6
1.0
4.698 -2.586 0.000
4.698 2.586 0.000
-2.398 0.000 4.445
Li Mg F
3 1 6
Direct
0.000 0.000 0.000 Li
0.255 0.255 0.851 Li
0.745 0.745 0.149 Li
0.500 0.500 0.500 Mg
0.160 0.661 0.166 F
0.274 0.274 0.489 F
0.339 0.840 0.834 F
0.661 0.160 0.166 F
0.726 0.726 0.511 F
0.840 0.339 0.834 F
```

(20)
## Li2MgF (PBE)

Data for a geometry-optimized Li2MgF structure.

Calculated values
SG: Fm-3m
energy above the lowest structure with this stoichiometry: 0.801 eV per atom
E_form (uncorrected): -600 meV per atom

```
Li2MgF
1.0
0.000 3.304 3.304
3.304 0.000 3.304
3.304 3.304 0.000
Li Mg F
2 1 1
Direct
0.250 0.250 0.250 Li
0.750 0.750 0.750 Li
0.000 0.000 0.000 Mg
0.500 0.500 0.500 F
```

(21)
## LiMg2F (PBE)

Data for a geometry-optimized LiMg2F structure.

Calculated values
SG: I-42d
energy above the lowest structure with this stoichiometry: 0.000 eV per atom
E_form (uncorrected): -976 meV per atom

```
LiMg2F
1.0
-3.284 3.284 3.488
3.284 -3.284 3.488
3.284 3.284 -3.488
Li Mg F
2 4 2
Direct
0.000 0.000 0.000 Li
0.750 0.250 0.500 Li
0.210 0.625 0.085 Mg
0.375 0.460 0.585 Mg
0.540 0.125 0.915 Mg
0.875 0.790 0.415 Mg
0.250 0.750 0.500 F
0.500 0.500 0.000 F
```